Entry 1:
## Ca2CrPb (PBE)

Data for a relaxed structure of Ca2CrPb.

```
data_Ca2CrPb
_chemical_formula_sum 'Ca2 Cr1 Pb1'
_cell_length_a 3.8725
_cell_length_b 3.8725
_cell_length_c 7.6290
_cell_angle_alpha 90.00
_cell_angle_beta 90.00
_cell_angle_gamma 90.00
_symmetry_space_group_name_H-M 'P 4/m m m'
_symmetry_Int_Tables_number 123
_symmetry_space_group_name_Hall '-P 4 2'
loop_
_atom_site_label
_atom_site_type_symbol
_atom_site_fract_x
_atom_site_fract_y
_atom_site_fract_z
Ca1 Ca 0.0000 0.0000 0.2404
Cr1 Cr 0.5000 0.5000 0.0000
Pb1 Pb 0.5000 0.5000 0.5000
```

Its formation energy from the elements is 74 meV/atom. Its energy is -4.259 eV/atom. The calculation puts the density of states at the Fermi level at 1.6 states/eV/cell. The density comes out at 4.93 g/cm3.

Entry 2:
## ZrTi2Sn (PBE)

Data for a relaxed structure of ZrTi2Sn.

```
data_ZrTi2Sn
_chemical_formula_sum 'Zr2 Ti4 Sn2'
_cell_length_a 4.9130
_cell_length_b 4.9130
_cell_length_c 8.0261
_cell_angle_alpha 90.00
_cell_angle_beta 90.00
_cell_angle_gamma 120.00
_symmetry_space_group_name_H-M 'P 63/m m c'
_symmetry_Int_Tables_number 194
_symmetry_space_group_name_Hall '-P 6c 2c'
loop_
_atom_site_label
_atom_site_type_symbol
_atom_site_fract_x
_atom_site_fract_y
_atom_site_fract_z
Zr1 Zr 0.0000 0.0000 0.2500
Ti1 Ti 0.3333 0.6667 0.0944
Sn1 Sn 0.3333 0.6667 0.7500
```

Its formation energy from the elements is -30 meV/atom. Its energy is -7.115 eV/atom. The calculation puts the density of states at the Fermi level at 11.8 states/eV/cell. The density comes out at 6.05 g/cm3.

Entry 3:
## NaTi2Sb2 (PBE)

Data for a relaxed structure of NaTi2Sb2.

```
data_NaTi2Sb2
_chemical_formula_sum 'Na2 Ti4 Sb4'
_cell_length_a 5.2953
_cell_length_b 5.2953
_cell_length_c 9.1433
_cell_angle_alpha 90.00
_cell_angle_beta 90.00
_cell_angle_gamma 90.00
_symmetry_space_group_name_H-M 'I 4/m m m'
_symmetry_Int_Tables_number 139
_symmetry_space_group_name_Hall '-I 4 2'
loop_
_atom_site_label
_atom_site_type_symbol
_atom_site_fract_x
_atom_site_fract_y
_atom_site_fract_z
Na1 Na 0.0000 0.0000 0.0000
Ti1 Ti 0.0000 0.0000 0.3536
Sb1 Sb 0.0000 0.5000 0.2500
```

Its energy is -5.042 eV/atom. The calculation puts the density of states at the Fermi level at 3.2 states/eV/cell. The calculation puts the excess energy over the best structure of this formula in the dataset at 0.312 eV/atom. The density comes out at 4.69 g/cm3. The value obtained for the energy relative to the elements, uncorrected is 0.029 eV per atom.

Entry 4:
## Rb3MgIn3Cl8 (PBE)

Data for a relaxed structure of Rb3MgIn3Cl8.

```
data_Rb3MgIn3Cl8
_chemical_formula_sum 'Rb9 Mg3 In9 Cl24'
_cell_length_a 9.2038
_cell_length_b 9.2038
_cell_length_c 21.9616
_cell_angle_alpha 90.00
_cell_angle_beta 90.00
_cell_angle_gamma 120.00
_symmetry_space_group_name_H-M 'R -3 m'
_symmetry_Int_Tables_number 166
_symmetry_space_group_name_Hall '-R 3 2"'
loop_
_atom_site_label
_atom_site_type_symbol
_atom_site_fract_x
_atom_site_fract_y
_atom_site_fract_z
Rb1 Rb 0.0000 0.5000 0.0000
Mg1 Mg 0.0000 0.0000 0.0000
In1 In 0.0000 0.5000 0.5000
Cl1 Cl 0.0000 0.0000 0.2478
Cl2 Cl 0.0694 0.5347 0.7349
```

Its energy is -3.295 eV/atom. The calculation puts the density of states at the Fermi level at 0.0 states/eV/cell. The density comes out at 2.81 g/cm3. The value obtained for the energy relative to the elements, uncorrected is -1.462 eV per atom.

Entry 5:
## Ce2Ga6Tc (PBE)

Data for a relaxed structure of Ce2Ga6Tc.

```
data_Ce2Ga6Tc
_chemical_formula_sum 'Ce2 Ga6 Tc1'
_cell_length_a 5.9909
_cell_length_b 5.9909
_cell_length_c 5.6272
_cell_angle_alpha 90.00
_cell_angle_beta 90.00
_cell_angle_gamma 120.00
_symmetry_space_group_name_H-M 'P -3 m 1'
_symmetry_Int_Tables_number 164
_symmetry_space_group_name_Hall '-P 3 2"'
loop_
_atom_site_label
_atom_site_type_symbol
_atom_site_fract_x
_atom_site_fract_y
_atom_site_fract_z
Ce1 Ce 0.3333 0.6667 0.1836
Ga1 Ga 0.1752 0.3505 0.6833
Tc1 Tc 0.0000 0.0000 0.0000
```

Its formation energy from the elements is -474 meV/atom. Its energy is -4.962 eV/atom. The calculation puts the density of states at the Fermi level at 11.6 states/eV/cell. The calculation puts the excess energy over the best structure of this formula in the dataset at 0.050 eV/atom. The density comes out at 7.56 g/cm3.

Entry 6:
## Sr2HgAs (PBE)

Data for a relaxed structure of Sr2HgAs.

```
data_Sr2HgAs
_chemical_formula_sum 'Sr2 Hg1 As1'
_cell_length_a 4.6382
_cell_length_b 4.6382
_cell_length_c 6.4286
_cell_angle_alpha 90.00
_cell_angle_beta 90.00
_cell_angle_gamma 90.00
_symmetry_space_group_name_H-M 'P 4 m m'
_symmetry_Int_Tables_number 99
_symmetry_space_group_name_Hall 'P 4 -2'
loop_
_atom_site_label
_atom_site_type_symbol
_atom_site_fract_x
_atom_site_fract_y
_atom_site_fract_z
Sr1 Sr 0.0000 0.0000 0.0000
Sr2 Sr 0.5000 0.5000 0.4992
Hg1 Hg 0.0000 0.0000 0.5002
As1 As 0.5000 0.5000 0.9992
```

Its formation energy from the elements is -645 meV/atom. Its energy is -2.723 eV/atom. The calculation puts the density of states at the Fermi level at 3.5 states/eV/cell. The calculation puts the excess energy over the best structure of this formula in the dataset at 0.182 eV/atom. The density comes out at 5.41 g/cm3.